LiGaAu4: relaxed, PBE.

## Properties
total magnetic moment: 0.000 μB/f.u.
ΔH_f (0 K): -208.4 meV/atom
total energy: -38.60 eV per cell
DOS at the Fermi energy: 2.9 states/eV/cell
energy relative to the lowest polymorph listed for this composition: 45 kJ/mol of formula units

abc: 7.284 7.284 5.545
angles: 111.68 111.68 63.79
Fractional positions:
Li (0.103, 0.103, 0.353)
Li (0.897, 0.897, 0.647)
Ga (0.354, 0.354, 0.104)
Ga (0.646, 0.646, 0.896)
Au (0.001, 0.499, 0.744)
Au (0.281, 0.719, 0.000)
Au (0.284, 0.716, 0.500)
Au (0.499, 0.001, 0.744)
Au (0.501, 0.999, 0.256)
Au (0.716, 0.284, 0.500)
Au (0.719, 0.281, 0.000)
Au (0.999, 0.501, 0.256)